(1)
TePtBr2 | PBE | optimized geometry

```
data_TePtBr2
_cell_length_a 3.468
_cell_length_b 3.468
_cell_length_c 8.752
_cell_angle_alpha 90.00
_cell_angle_beta 90.00
_cell_angle_gamma 90.00
_space_group_name_H-M_alt 'P 1'
_space_group_IT_number 1
loop_
_space_group_symop_operation_xyz
'x,y,z'
loop_
_atom_site_label
_atom_site_fract_x
_atom_site_fract_y
_atom_site_fract_z
Br1 0.500 0.500 0.333
Br2 0.000 0.000 0.937
Te1 0.500 0.500 0.694
Pt1 0.000 0.000 0.536
```

Calculated values
Formation energy (no corrections)   2.7 kcal/mol of atoms

(2)
Te3PtBr | PBE | optimized geometry

```
data_Te3PtBr
_cell_length_a 5.456
_cell_length_b 5.456
_cell_length_c 5.456
_cell_angle_alpha 90.00
_cell_angle_beta 90.00
_cell_angle_gamma 90.00
_space_group_name_H-M_alt 'P 1'
_space_group_IT_number 1
loop_
_space_group_symop_operation_xyz
'x,y,z'
loop_
_atom_site_label
_atom_site_fract_x
_atom_site_fract_y
_atom_site_fract_z
Te1 0.500 0.000 0.000
Te2 0.000 0.500 0.000
Te3 0.000 0.000 0.500
Br1 0.000 0.000 0.000
Pt1 0.500 0.500 0.500
```

Calculated values
Formation energy (no corrections)   31.6 kcal/mol of atoms
E above lowest polymorph   1.015 eV per atom

(3)
Te2PtBr | PBE | optimized geometry

```
data_Te2PtBr
_cell_length_a 4.057
_cell_length_b 5.177
_cell_length_c 6.378
_cell_angle_alpha 57.73
_cell_angle_beta 90.00
_cell_angle_gamma 90.00
_space_group_name_H-M_alt 'P 1'
_space_group_IT_number 1
loop_
_space_group_symop_operation_xyz
'x,y,z'
loop_
_atom_site_label
_atom_site_fract_x
_atom_site_fract_y
_atom_site_fract_z
Te1 0.000 0.931 0.914
Pt1 0.500 0.750 0.750
Br1 0.500 0.250 0.250
Te2 0.000 0.569 0.586
```

Calculated values
Formation energy (no corrections)   -6.6 kcal/mol of atoms

What is the formation energy (no corrections) in the second record? 31.6 kcal/mol of atoms

The highest formation energy (no corrections) belongs to which entry? Te3PtBr

Look up the formation energy (no corrections) of the second one. 31.6 kcal/mol of atoms